No. 1
Computed, not measured: crystalline PuIn3Cu8 at its relaxed geometry at the PBE level of DFT.

Its energy above the most stable polymorph in this dataset is 0.000 kcal/mol of atoms. The total energy comes out at -55.8 eV/f.u. The calculation puts the calculated formation energy at -0.49 eV/f.u. The density of states at the Fermi level comes out at 43.4 states/eV/cell.

The structure belongs to space group R3m (No. 160, hexagonal axes); the cell edges are 5.0894, 5.0894 and 25.4123 Å and the angles 90.00°, 90.00° and 120.00°. The asymmetric unit holds Pu at (0.0000, 0.0000, 0.0000), In at (0.0000, 0.0000, 0.1252), In at (0.0000, 0.0000, 0.4996), In at (0.0000, 0.0000, 0.6214), Cu at (0.0000, 0.0000, 0.3114), Cu at (0.0000, 0.0000, 0.8122), Cu at (0.0010, 0.5005, 0.0638) and Cu at (0.1678, 0.3356, 0.8939).



No. 2
Computed, not measured: crystalline Pm2Ga9Ni3 at its relaxed geometry at the PBE level of DFT.

The total energy comes out at -61.1 eV/f.u. The calculation puts the calculated formation energy at -7.05 eV/f.u. The density of states at the Fermi level comes out at 20.0 states/eV/cell.

The structure belongs to space group C2/c (No. 15); the cell edges are 12.985, 7.495 and 10.542 Å and the angles 90.00°, 114.39° and 90.00°. The asymmetric unit holds Pm at (0.168, 0.083, 0.251), Ga at (0.000, 0.373, 0.250), Ga at (0.061, 0.084, 0.932), Ga at (0.102, 0.416, 0.056), Ga at (0.105, 0.313, 0.749), Ga at (0.226, 0.418, 0.431), Ni at (0.085, 0.247, 0.501) and Ni at (0.250, 0.250, 0.000).



No. 3
Computed, not measured: crystalline Cs2PbI6Br at its relaxed geometry at the PBE level of DFT.

The total energy comes out at -23.5 eV/f.u. The density of states at the Fermi level comes out at 14.9 states/eV/cell.

The structure belongs to space group I4/mmm (No. 139); the cell edges are 9.343, 9.343 and 11.860 Å and the angles 90.00°, 90.00° and 90.00°. The asymmetric unit holds Cs at (0.000, 0.500, 0.250), Pb at (0.000, 0.000, 0.000), I at (0.000, 0.000, 0.266), I at (0.232, 0.232, 0.000) and Br at (0.000, 0.000, 0.500).



No. 4
Computed, not measured: crystalline RbCa4Eu at its relaxed geometry at the PBE level of DFT.

The total energy comes out at -18.3 eV/f.u. The calculation puts the calculated formation energy at 0.99 eV/f.u. The density of states at the Fermi level comes out at 23.1 states/eV/cell.

The structure belongs to space group F-43m (No. 216); the cell edges are 10.629, 10.629 and 10.629 Å and the angles 90.00°, 90.00° and 90.00°. The asymmetric unit holds Rb at (0.000, 0.000, 0.000), Ca at (0.124, 0.124, 0.376) and Eu at (0.250, 0.250, 0.750).



No. 5
Computed, not measured: crystalline AcPrAg at its relaxed geometry at the PBE level of DFT.

Its energy above the most stable polymorph in this dataset is 0.264 kcal/mol of atoms. The total energy comes out at -12.1 eV/f.u. The calculation puts the calculated formation energy at -0.37 eV/f.u. The density of states at the Fermi level comes out at 8.5 states/eV/cell.

The structure belongs to space group P4/nmm (No. 129, origin choice 2); the cell edges are 4.955, 4.955 and 8.207 Å and the angles 90.00°, 90.00° and 90.00°. The asymmetric unit holds Ac at (0.250, 0.250, 0.130), Pr at (0.250, 0.750, 0.500) and Ag at (0.250, 0.250, 0.748).



No. 6
Computed, not measured: crystalline NaH2Au at its relaxed geometry at the PBE level of DFT.

Its energy above the most stable polymorph in this dataset is 2.175 kcal/mol of atoms. The total energy comes out at -11.7 eV/f.u. The density of states at the Fermi level comes out at 0.0 states/eV/cell.

The structure belongs to space group I-42d (No. 122); the cell edges are 5.009, 5.009 and 8.350 Å and the angles 90.00°, 90.00° and 90.00°. The asymmetric unit holds Na at (0.000, 0.000, 0.000), H at (0.164, 0.250, 0.625) and Au at (0.000, 0.000, 0.500).



Copy entry 4 word for word.
Computed, not measured: crystalline RbCa4Eu at its relaxed geometry at the PBE level of DFT.

The total energy comes out at -18.3 eV/f.u. The calculation puts the calculated formation energy at 0.99 eV/f.u. The density of states at the Fermi level comes out at 23.1 states/eV/cell.

The structure belongs to space group F-43m (No. 216); the cell edges are 10.629, 10.629 and 10.629 Å and the angles 90.00°, 90.00° and 90.00°. The asymmetric unit holds Rb at (0.000, 0.000, 0.000), Ca at (0.124, 0.124, 0.376) and Eu at (0.250, 0.250, 0.750).



Copy entry 3 word for word.
Computed, not measured: crystalline Cs2PbI6Br at its relaxed geometry at the PBE level of DFT.

The total energy comes out at -23.5 eV/f.u. The density of states at the Fermi level comes out at 14.9 states/eV/cell.

The structure belongs to space group I4/mmm (No. 139); the cell edges are 9.343, 9.343 and 11.860 Å and the angles 90.00°, 90.00° and 90.00°. The asymmetric unit holds Cs at (0.000, 0.500, 0.250), Pb at (0.000, 0.000, 0.000), I at (0.000, 0.000, 0.266), I at (0.232, 0.232, 0.000) and Br at (0.000, 0.000, 0.500).



What is the total energy in the first record?
-55.8 eV/f.u.